[1]
An optimized crystal structure of Os2Au. Source: Alexandria via LeMat-Bulk, functional PBE-GGA.

Cell lengths 2.7879, 2.7879, 6.9742 Å; angles 90.00, 90.00, 120.00 degrees
Atoms (fractional coordinates):
Os: 0.3333 0.6667 0.1459
Os: 0.6667 0.3333 0.8541
Au: 0.0000 0.0000 0.5000

The volume is 46.94 Å³ per cell. The magnetization is 0.0 Bohr magnetons per cell. The calculation puts the energy above the most stable polymorph in this dataset at 0 meV/atom. For the formation energy, the calculation gives 0.337 eV/atom. Its crystal system is trigonal.

=====

[2]
An optimized crystal structure of Os5Au. Source: Alexandria via LeMat-Bulk, functional PBE-GGA.

Cell lengths 4.4119, 7.3584, 7.3584 Å; angles 21.85, 90.00, 90.00 degrees
Atoms (fractional coordinates):
Os: 0.0000 0.0000 0.0000
Os: 0.0000 0.3271 0.3271
Os: 0.0000 0.6647 0.6647
Os: 0.5000 0.2144 0.2144
Os: 0.5000 0.5595 0.5595
Au: 0.5000 0.8881 0.8881

The volume is 88.90 Å³ per cell. The magnetization is 0.0 Bohr magnetons per cell. The calculation puts the energy above the most stable polymorph in this dataset at 16 meV/atom. For the formation energy, the calculation gives 0.327 eV/atom. Its crystal system is orthorhombic.

=====

[3]
An optimized crystal structure of OsAu2. Source: Alexandria via LeMat-Bulk, functional PBE-GGA.

Cell lengths 5.1989, 5.1989, 9.4838 Å; angles 90.00, 90.00, 120.00 degrees
Atoms (fractional coordinates):
Os: 0.3333 0.6667 0.0064
Os: 0.3333 0.6667 0.4936
Os: 0.6667 0.3333 0.5064
Os: 0.6667 0.3333 0.9936
Au: 0.0000 0.0000 0.0000
Au: 0.0000 0.0000 0.5000
Au: 0.1679 0.3359 0.7500
Au: 0.1679 0.8321 0.7500
Au: 0.3359 0.1679 0.2500
Au: 0.6641 0.8321 0.7500
Au: 0.8321 0.1679 0.2500
Au: 0.8321 0.6641 0.2500

The volume is 221.99 Å³ per cell. The magnetization is 4.9 Bohr magnetons per cell. The calculation puts the energy above the most stable polymorph in this dataset at 695 meV/atom. For the formation energy, the calculation gives 1.116 eV/atom. Its crystal system is hexagonal.

=====

[4]
An optimized crystal structure of OsAu2. Source: Alexandria via LeMat-Bulk, functional PBE-GGA.

Cell lengths 5.3279, 5.3279, 5.3279 Å; angles 60.00, 60.00, 60.00 degrees
Atoms (fractional coordinates):
Os: 0.1250 0.1250 0.1250
Os: 0.8750 0.8750 0.8750
Au: 0.0000 0.5000 0.5000
Au: 0.5000 0.0000 0.5000
Au: 0.5000 0.5000 0.0000
Au: 0.5000 0.5000 0.5000

The volume is 106.94 Å³ per cell. The magnetization is 3.0 Bohr magnetons per cell. The calculation puts the energy above the most stable polymorph in this dataset at 786 meV/atom. For the formation energy, the calculation gives 1.208 eV/atom. Its crystal system is cubic.

=====

[5]
An optimized crystal structure of OsAu3. Source: Alexandria via LeMat-Bulk, functional PBE-GGA.

Cell lengths 4.7567, 5.9311, 4.8935 Å; angles 90.00, 90.00, 90.00 degrees
Atoms (fractional coordinates):
Os: 0.2500 0.2500 0.1781
Os: 0.7500 0.7500 0.8219
Au: 0.2500 0.0018 0.6717
Au: 0.2500 0.4982 0.6717
Au: 0.2500 0.7500 0.1562
Au: 0.7500 0.2500 0.8438
Au: 0.7500 0.5018 0.3283
Au: 0.7500 0.9982 0.3283

The volume is 138.06 Å³ per cell. The magnetization is 3.9 Bohr magnetons per cell. The calculation puts the energy above the most stable polymorph in this dataset at 291 meV/atom. For the formation energy, the calculation gives 0.666 eV/atom. Its crystal system is orthorhombic.

=====

[6]
An optimized crystal structure of OsAu2. Source: Alexandria via LeMat-Bulk, functional PBE-GGA.

Cell lengths 2.8394, 2.8394, 7.1184 Å; angles 90.00, 90.00, 120.00 degrees
Atoms (fractional coordinates):
Os: 0.0000 0.0000 0.0000
Au: 0.3333 0.6667 0.6743
Au: 0.6667 0.3333 0.3257

The volume is 49.70 Å³ per cell. The magnetization is 0.0 Bohr magnetons per cell. The calculation puts the energy above the most stable polymorph in this dataset at 75 meV/atom. For the formation energy, the calculation gives 0.497 eV/atom. Its crystal system is trigonal.

=====

[7]
An optimized crystal structure of OsAu2. Source: Alexandria via LeMat-Bulk, functional PBE-GGA.

Cell lengths 5.0919, 5.0919, 5.0919 Å; angles 148.88, 132.15, 58.18 degrees
Atoms (fractional coordinates):
Os: 0.0000 0.0000 0.0000
Au: 0.3378 0.3378 0.0000
Au: 0.6622 0.6622 0.0000

The volume is 50.20 Å³ per cell. The magnetization is 0.0 Bohr magnetons per cell. The calculation puts the energy above the most stable polymorph in this dataset at 310 meV/atom. For the formation energy, the calculation gives 0.732 eV/atom. Its crystal system is orthorhombic.

=====

[8]
An optimized crystal structure of Os3Au. Source: Alexandria via LeMat-Bulk, functional PBE-GGA.

Cell lengths 8.4088, 8.4088, 8.4088 Å; angles 153.24, 153.24, 38.20 degrees
Atoms (fractional coordinates):
Os: 0.0000 0.5000 0.5000
Os: 0.1291 0.1291 0.0000
Os: 0.2500 0.7500 0.5000
Os: 0.5000 0.0000 0.5000
Os: 0.7500 0.2500 0.5000
Os: 0.8709 0.8709 0.0000
Au: 0.3786 0.3786 0.0000
Au: 0.6214 0.6214 0.0000

The volume is 120.33 Å³ per cell. The magnetization is 0.0 Bohr magnetons per cell. The calculation puts the energy above the most stable polymorph in this dataset at 328 meV/atom. For the formation energy, the calculation gives 0.647 eV/atom. Its crystal system is tetragonal.